(1)
The following is a PBE calculation of an optimized crystal structure of Nd2SmRh2, from Alexandria.

Cell and atoms, written as POSCAR:
```
Nd2SmRh2
1.0
3.832 0.000 -0.587
0.000 4.763 0.000
0.144 0.000 13.732
Rh Nd Sm
4 4 2
Cartesian
0.653 1.191 4.260
1.921 1.191 12.532
2.055 3.572 0.612
3.323 3.572 8.884
3.763 3.572 11.757
0.213 1.191 1.387
2.872 1.191 5.944
1.104 3.572 7.200
2.470 3.572 3.321
1.506 1.191 9.823
```

## Properties
volume	125.50	Å³/f.u.
energy relative to the elements	-0.513	eV per atom
space group	Cmcm (63)
DFT total energy	-63.05	eV for the cell shown

(2)
The following is a PBE calculation of an optimized crystal structure of Li2MoRh, from Alexandria.

Cell and atoms, written as POSCAR:
```
Li2MoRh
1.0
-2.321 1.417 4.480
-5.093 1.210 0.247
3.155 -3.737 -1.884
Li Rh Mo
2 1 1
Cartesian
-3.707 1.314 2.364
0.000 0.000 0.000
-1.437 -0.504 2.480
-2.823 -0.607 0.364
```

## Properties
volume	58.84	Å³/f.u.
energy relative to the elements	0.218	eV per atom
space group	I4/mmm (139)
DFT total energy	-21.14	eV for the cell shown

(3)
The following is a PBE calculation of an optimized crystal structure of AcPr4Mg, from Alexandria.

Cell and atoms, written as POSCAR:
```
AcPr4Mg
1.0
-6.394 0.144 -0.745
-3.841 -3.336 3.946
-4.064 8.301 8.369
Pr Ac Mg
8 2 2
Cartesian
-5.695 1.998 6.782
-7.527 -0.377 4.648
-9.338 5.494 11.357
-10.049 4.442 7.932
-4.960 -0.384 0.213
-4.249 0.667 3.639
-8.604 3.112 4.788
-6.771 5.486 6.922
-5.229 4.223 3.812
-1.920 -1.668 1.973
-7.097 3.174 9.840
-7.201 1.935 1.731
```

## Properties
volume	212.05	Å³/f.u.
energy relative to the elements	0.017	eV per atom
space group	C2/c (15)
DFT total energy	-49.44	eV for the cell shown

(4)
The following is a PBE calculation of an optimized crystal structure of TlRuSeBr2, from Alexandria.

Cell and atoms, written as POSCAR:
```
TlRuSeBr2
1.0
5.429 0.000 0.000
0.000 5.429 0.000
0.000 0.000 4.652
Br Ru Se Tl
2 1 1 1
Cartesian
0.000 2.715 0.000
2.715 0.000 0.000
0.000 0.000 0.000
0.000 0.000 2.326
2.715 2.715 2.326
```

## Properties
volume	137.12	Å³/f.u.
ΔE_f (raw)	-0.165	eV/atom
space group	P4/mmm (123)
DFT total energy	-19.30	eV for the cell shown

(5)
The following is a PBE calculation of an optimized crystal structure of SrCrCo2, from Alexandria.

Cell and atoms, written as POSCAR:
```
SrCrCo2
1.0
-3.408 -1.887 -1.118
0.189 -3.635 -1.782
-1.344 -4.264 3.944
Co Cr Sr
2 1 1
Cartesian
-1.295 -3.819 3.041
-2.332 -5.339 1.425
-3.423 -7.340 0.782
-1.141 -2.447 0.261
```

## Properties
volume	78.01	Å³/f.u.
energy relative to the elements	0.320	eV per atom
space group	R-3m (166)
DFT total energy	-24.24	eV for the cell shown

(6)
The following is a PBE calculation of an optimized crystal structure of NpGeOsRu, from Alexandria.

Cell and atoms, written as POSCAR:
```
NpGeOsRu
1.0
4.571 0.000 0.000
2.285 3.958 0.000
2.285 1.319 3.732
Ge Os Np Ru
1 1 1 1
Cartesian
4.571 2.639 1.866
6.856 3.958 2.799
0.000 0.000 0.000
2.285 1.319 0.933
```

## Properties
volume	67.52	Å³/f.u.
energy relative to the elements	-0.009	eV per atom
space group	F-43m (216)
DFT total energy	-38.10	eV for the cell shown